# 1
{
  "formula": "LaAg3Rh",
  "functional": "PBE",
  "state": "optimized geometry",
  "de_polymorph_mev_per_atom": 0,
  "space_group": "Pm-3m",
  "delta_e_f_ev_per_atom": 0.3169,
  "volume_a3_per_atom": 25.5,
  "cell": [[5.033, 0.000, 0.000], [0.000, 5.033, 0.000], [0.000, 0.000, 5.033]],
  "species": ["Ag", "Ag", "Ag", "La", "Rh"],
  "fractional_positions": [[0.500, 0.000, 0.000], [0.000, 0.000, 0.500], [0.000, 0.500, 0.000], [0.500, 0.500, 0.500], [0.000, 0.000, 0.000]]
}



# 2
{
  "formula": "Tm4CSe2",
  "functional": "PBE",
  "state": "optimized geometry",
  "formation_energy_uncorrected_ev_per_atom": -1.08,
  "de_polymorph_mev_per_atom": 0,
  "space_group": "Cmmm",
  "volume_a3_per_atom": 23.9,
  "cell": [[3.807, 0.000, 0.000], [0.000, 6.394, -2.357], [0.000, 0.177, 6.812]],
  "species": ["Tm", "Se", "Tm", "C", "Tm", "Se", "Tm"],
  "fractional_positions": [[0.500, 0.793, 0.793], [0.500, 0.000, 0.500], [0.000, 0.781, 0.219], [0.000, 0.000, 0.000], [0.500, 0.207, 0.207], [0.500, 0.500, 0.000], [0.000, 0.219, 0.781]]
}